A) {
  "formula": "LiCu2Tc",
  "functional": "PBEsol",
  "state": "optimized geometry",
  "cell": [[-0.199, 0.432, 2.408], [-3.878, -2.448, 0.118], [3.381, -2.991, 0.817]],
  "species": ["Li", "Tc", "Cu", "Cu"],
  "fractional_positions": [[0.500, 0.500, 0.500], [0.500, 0.000, 0.000], [0.000, 0.000, 0.500], [0.000, 0.500, 0.000]]
}

B) {
  "formula": "LiCu2Tc",
  "functional": "PBEsol",
  "state": "optimized geometry",
  "cell": [[-2.136, -0.427, -1.223], [-1.063, -0.759, 2.129], [-2.349, 7.470, 1.492]],
  "species": ["Cu", "Cu", "Tc", "Li"],
  "fractional_positions": [[0.500, 0.500, 0.761], [0.000, 0.000, 0.987], [0.500, 0.500, 0.240], [0.000, 0.000, 0.512]]
}

Which is the most stable structure? A) is the most stable.

A) {
  "formula": "LiZnCu",
  "functional": "PBEsol",
  "state": "optimized geometry",
  "cell": [[2.542, 0.000, 0.000], [0.000, 3.837, 0.000], [-1.271, -1.918, 3.853]],
  "species": ["Cu", "Li", "Zn"],
  "fractional_positions": [[0.995, 0.995, 0.990], [0.666, 0.666, 0.332], [0.339, 0.339, 0.678]]
}

B) {
  "formula": "LiZnCu",
  "functional": "PBEsol",
  "state": "optimized geometry",
  "cell": [[2.611, 0.000, 0.000], [-1.306, 2.261, 0.000], [0.000, 0.000, 6.504]],
  "species": ["Li", "Zn", "Cu"],
  "fractional_positions": [[0.333, 0.667, 0.675], [0.667, 0.333, 0.325], [0.000, 0.000, 0.999]]
}

Which is the most stable structure? A) is the most stable.

A) {
  "formula": "MgCuMo2",
  "functional": "PBEsol",
  "state": "optimized geometry",
  "cell": [[2.610, 0.000, 0.056], [0.000, 4.484, 0.000], [-1.018, 0.000, 5.037]],
  "species": ["Mg", "Mo", "Cu", "Mo"],
  "fractional_positions": [[0.500, 0.500, 0.500], [0.967, 0.000, 0.245], [0.500, 0.500, 0.000], [0.033, 0.000, 0.755]]
}

B) {
  "formula": "MgCuMo2",
  "functional": "PBEsol",
  "state": "optimized geometry",
  "cell": [[-2.624, 0.335, 2.022], [-1.948, -2.760, -2.072], [3.948, -1.974, 2.708]],
  "species": ["Mo", "Mo", "Mg", "Cu"],
  "fractional_positions": [[0.756, 0.756, 0.513], [0.244, 0.244, 0.487], [0.000, 0.500, 0.000], [0.500, 0.000, 0.000]]
}

C) {
  "formula": "MgCuMo2",
  "functional": "PBEsol",
  "state": "optimized geometry",
  "cell": [[2.625, 0.000, 0.000], [0.000, 2.625, 0.000], [0.000, 0.000, 8.609]],
  "species": ["Cu", "Mo", "Mg", "Mo"],
  "fractional_positions": [[0.500, 0.500, 0.000], [0.000, 0.000, 0.231], [0.500, 0.500, 0.500], [0.000, 0.000, 0.769]]
}

D) {
  "formula": "MgCuMo2",
  "functional": "PBEsol",
  "state": "optimized geometry",
  "cell": [[-0.915, 0.429, -3.811], [1.475, -3.577, -0.756], [-3.691, 0.031, 2.929]],
  "species": ["Mo", "Cu", "Mg", "Mo"],
  "fractional_positions": [[0.000, 0.000, 0.000], [0.500, 0.500, 0.000], [0.250, 0.750, 0.500], [0.750, 0.250, 0.500]]
}

Which is the most stable structure? B) is the most stable.

A) {
  "formula": "MgCu2Mo",
  "functional": "PBEsol",
  "state": "optimized geometry",
  "cell": [[2.632, 0.000, 0.000], [0.000, 3.727, 0.000], [0.000, 0.000, 5.709]],
  "species": ["Cu", "Cu", "Mo", "Mg"],
  "fractional_positions": [[0.000, 0.000, 0.733], [0.000, 0.000, 0.267], [0.500, 0.500, 0.500], [0.500, 0.500, 0.000]]
}

B) {
  "formula": "MgCu2Mo",
  "functional": "PBEsol",
  "state": "optimized geometry",
  "cell": [[4.282, 0.000, 0.000], [2.141, 3.709, 0.000], [2.141, 1.236, 3.497]],
  "species": ["Mg", "Cu", "Cu", "Mo"],
  "fractional_positions": [[0.500, 0.500, 0.500], [0.750, 0.750, 0.750], [0.250, 0.250, 0.250], [0.000, 0.000, 0.000]]
}

Which is the most stable structure? A) is the most stable.